# SiOs2Ru

A relaxed SiOs2Ru crystal (PBE, Alexandria via LeMat-Bulk).

Properties
* total DFT energy (no corrections): -9.26 eV per atom
* formation energy (no corrections): 26 meV per atom

Cell: 2.765 2.765 24.990 Å, 90.00 90.00 120.00°
Fractional coordinates of all 12 atoms:
Si: 0.000 0.000 0.000
Si: 0.333 0.667 0.667
Si: 0.667 0.333 0.333
Os: 0.000 0.000 0.255
Os: 0.000 0.000 0.745
Os: 0.333 0.667 0.412
Os: 0.333 0.667 0.921
Os: 0.667 0.333 0.079
Os: 0.667 0.333 0.588
Ru: 0.000 0.000 0.500
Ru: 0.333 0.667 0.167
Ru: 0.667 0.333 0.833

# SiOsRu3

A relaxed SiOsRu3 crystal (PBE, Alexandria via LeMat-Bulk).

Properties
* total DFT energy (no corrections): -7.07 eV per atom
* excess energy over the best structure of this formula in the dataset: 722.6 meV/atom
* formation energy (no corrections): 1823 meV per atom

Cell: 4.660 4.660 4.660 Å, 90.00 90.00 90.00°
Fractional coordinates of all 5 atoms:
Si: 0.000 0.000 0.000
Os: 0.500 0.500 0.500
Ru: 0.000 0.500 0.500
Ru: 0.500 0.000 0.500
Ru: 0.500 0.500 0.000

# SiOsRu2

A relaxed SiOsRu2 crystal (PBE, Alexandria via LeMat-Bulk).

Properties
* total DFT energy (no corrections): -8.91 eV per atom
* formation energy (no corrections): -113 meV per atom

Cell: 2.763 3.956 5.147 Å, 90.00 103.05 90.00°
Fractional coordinates of all 4 atoms:
Si: 0.000 0.000 0.000
Os: 0.000 0.000 0.500
Ru: 0.375 0.500 0.239
Ru: 0.625 0.500 0.761